[1]
CoGe2Os: optimized geometry, PBE.

Its final energy is -6.864 eV/atom.

The space group is P1 (No. 1) and the conventional cell measures 4.6122, 4.6418 and 5.3263 Å, with angles of 91.03, 90.95 and 103.01 degrees. The asymmetric unit holds Co at (0.0000, 0.0000, 0.0000), Co at (0.4781, 0.8965, 0.6814), Ge at (0.3821, 0.3937, 0.8463), Ge at (0.4876, 0.9102, 0.1621), Ge at (0.9034, 0.4957, 0.1644), Ge at (0.9780, 0.9937, 0.5239), Os at (0.3787, 0.3830, 0.3459) and Os at (0.8885, 0.4941, 0.6819).

---

[2]
CoGe2Os: optimized geometry, PBE.

Its final energy is -6.888 eV/atom.

The space group is P-1 (No. 2) and the conventional cell measures 4.6132, 4.6965 and 5.6659 Å, with angles of 65.75, 89.27 and 89.74 degrees. The asymmetric unit holds Co at (0.1497, 0.2081, 0.1078), Ge at (0.1440, 0.6996, 0.5743), Ge at (0.3374, 0.7131, 0.0567) and Os at (0.3580, 0.1804, 0.6246).

---

no.,distance to the lowest polymorph of the same formula (meV/atom)
1,44.3
2,20.5